Entry 1:
# Na2SrTaSe | Alexandria via LeMat-Bulk | PBE | relaxed
# **Magnetization**: 0.990 μB/atom
# **Density of states at the Fermi level**: 0.29 states/eV per atom
data_Na2SrTaSe
_cell_length_a 5.4024
_cell_length_b 5.4024
_cell_length_c 6.0058
_cell_angle_alpha 90.00
_cell_angle_beta 90.00
_cell_angle_gamma 90.00
_space_group_name_H-M_alt 'P 4/m m m'
_space_group_IT_number 123
_space_group_name_Hall '-P 4 2'
loop_
_atom_site_label
_atom_site_type_symbol
_atom_site_fract_x
_atom_site_fract_y
_atom_site_fract_z
Na1 Na 0.0000 0.5000 0.0000
Sr1 Sr 0.0000 0.0000 0.5000
Ta1 Ta 0.5000 0.5000 0.5000
Se1 Se 0.0000 0.0000 0.0000



Entry 2:
# Na2SrTeSe4 | Alexandria via LeMat-Bulk | PBE | relaxed
# **Magnetization**: 0.000 μB/atom
# **Density of states at the Fermi level**: 0.03 states/eV per atom
data_Na2SrTeSe4
_cell_length_a 8.3807
_cell_length_b 8.7882
_cell_length_c 12.1067
_cell_angle_alpha 90.00
_cell_angle_beta 90.00
_cell_angle_gamma 90.00
_space_group_name_H-M_alt 'I m m a'
_space_group_IT_number 74
_space_group_name_Hall '-I 2b 2'
loop_
_atom_site_label
_atom_site_type_symbol
_atom_site_fract_x
_atom_site_fract_y
_atom_site_fract_z
Na1 Na 0.0000 0.0000 0.0000
Na2 Na 0.2500 0.2500 0.2500
Sr1 Sr 0.0000 0.0000 0.5000
Te1 Te 0.2500 0.2500 0.7500
Se1 Se 0.0000 0.0246 0.7550
Se2 Se 0.2444 0.2500 0.9848



Entry 3:
# Na2SrTiSe4 | Alexandria via LeMat-Bulk | PBE | relaxed
# **Magnetization**: 0.000 μB/atom
# **Density of states at the Fermi level**: 0.00 states/eV per atom
data_Na2SrTiSe4
_cell_length_a 7.6430
_cell_length_b 7.6430
_cell_length_c 7.8427
_cell_angle_alpha 90.00
_cell_angle_beta 90.00
_cell_angle_gamma 90.00
_space_group_name_H-M_alt 'I -4 2 m'
_space_group_IT_number 121
_space_group_name_Hall 'I -4 2'
loop_
_atom_site_label
_atom_site_type_symbol
_atom_site_fract_x
_atom_site_fract_y
_atom_site_fract_z
Na1 Na 0.0000 0.5000 0.2500
Sr1 Sr 0.0000 0.0000 0.0000
Ti1 Ti 0.0000 0.0000 0.5000
Se1 Se 0.1827 0.1827 0.6761



Entry 4:
# NaSr4Tm3Se8 | Alexandria via LeMat-Bulk | PBE | relaxed
# **Magnetization**: 0.000 μB/atom
# **Density of states at the Fermi level**: 0.25 states/eV per atom
data_NaSr4Tm3Se8
_cell_length_a 8.4586
_cell_length_b 8.4586
_cell_length_c 20.8987
_cell_angle_alpha 90.00
_cell_angle_beta 90.00
_cell_angle_gamma 120.00
_space_group_name_H-M_alt 'R -3 m'
_space_group_IT_number 166
_space_group_name_Hall '-R 3 2"'
loop_
_atom_site_label
_atom_site_type_symbol
_atom_site_fract_x
_atom_site_fract_y
_atom_site_fract_z
Na1 Na 0.0000 0.0000 0.0000
Sr1 Sr 0.0000 0.0000 0.5000
Sr2 Sr 0.0000 0.5000 0.5000
Tm1 Tm 0.0000 0.5000 0.0000
Se1 Se 0.0000 0.0000 0.2581
Se2 Se 0.0082 0.5041 0.2577



Calculated energy relative to the elements, uncorrected in order - 10.91; -21.47; -29.89; -42.59 kcal/mol of atoms